Computed, not measured: an optimized crystal structure of CdPb3F at the PBE-GGA level of DFT.

CIF file:
```
data_CdPb3F
_chemical_formula_sum 'Cd1 Pb3 F1'
_cell_length_a 5.6830
_cell_length_b 5.6830
_cell_length_c 5.6830
_cell_angle_alpha 90.00
_cell_angle_beta 90.00
_cell_angle_gamma 90.00
_symmetry_space_group_name_H-M 'P m -3 m'
_symmetry_Int_Tables_number 221
_symmetry_space_group_name_Hall '-P 4 2 3'
loop_
_atom_site_label
_atom_site_type_symbol
_atom_site_fract_x
_atom_site_fract_y
_atom_site_fract_z
Cd1 Cd 0.0000 0.0000 0.0000
Pb1 Pb 0.0000 0.0000 0.5000
F1 F 0.5000 0.5000 0.5000
```

## Properties
Magnetic moment: 0.00 μB/f.u.
Electronic total energy: -2.60 eV/atom
Energy relative to the lowest polymorph listed for this composition: 0.5957 eV per atom
Formation energy (no corrections): 0.89 eV per formula unit

Computed, not measured: an optimized crystal structure of La2HfAlN at the PBE-GGA level of DFT.

CIF file:
```
data_La2HfAlN
_chemical_formula_sum 'La2 Hf1 Al1 N1'
_cell_length_a 5.1827
_cell_length_b 5.1827
_cell_length_c 4.3544
_cell_angle_alpha 90.00
_cell_angle_beta 90.00
_cell_angle_gamma 90.00
_symmetry_space_group_name_H-M 'P 4/m m m'
_symmetry_Int_Tables_number 123
_symmetry_space_group_name_Hall '-P 4 2'
loop_
_atom_site_label
_atom_site_type_symbol
_atom_site_fract_x
_atom_site_fract_y
_atom_site_fract_z
La1 La 0.0000 0.5000 0.0000
Hf1 Hf 0.0000 0.0000 0.5000
Al1 Al 0.5000 0.5000 0.5000
N1 N 0.0000 0.0000 0.0000
```

## Properties
Magnetic moment: 0.00 μB/f.u.
Electronic total energy: -7.07 eV/atom
Formation energy (no corrections): -3.47 eV per formula unit

Computed, not measured: an optimized crystal structure of Nd2DyY2Th at the PBE-GGA level of DFT.

CIF file:
```
data_Nd2DyY2Th
_chemical_formula_sum 'Nd4 Dy2 Y4 Th2'
_cell_length_a 6.1222
_cell_length_b 18.3281
_cell_length_c 3.5776
_cell_angle_alpha 90.00
_cell_angle_beta 90.00
_cell_angle_gamma 90.00
_symmetry_space_group_name_H-M 'P n n m'
_symmetry_Int_Tables_number 58
_symmetry_space_group_name_Hall '-P 2 2n'
loop_
_atom_site_label
_atom_site_type_symbol
_atom_site_fract_x
_atom_site_fract_y
_atom_site_fract_z
Nd1 Nd 0.1633 0.1551 0.0000
Dy1 Dy 0.0000 0.5000 0.5000
Y1 Y 0.1697 0.3436 0.0000
Th1 Th 0.0000 0.0000 0.5000
```

## Properties
Calculated formation energy: 0.081 eV/atom
Magnetic moment: 0.00 μB/f.u.
Electronic total energy: -5.67 eV/atom

Computed, not measured: an optimized crystal structure of La8GeSb5 at the PBE-GGA level of DFT.

CIF file:
```
data_La8GeSb5
_chemical_formula_sum 'La16 Ge2 Sb10'
_cell_length_a 9.6319
_cell_length_b 9.6319
_cell_length_c 9.7111
_cell_angle_alpha 90.00
_cell_angle_beta 90.00
_cell_angle_gamma 90.00
_symmetry_space_group_name_H-M 'I -4'
_symmetry_Int_Tables_number 82
_symmetry_space_group_name_Hall 'I -4'
loop_
_atom_site_label
_atom_site_type_symbol
_atom_site_fract_x
_atom_site_fract_y
_atom_site_fract_z
La1 La 0.0703 0.1770 0.1995
La2 La 0.0705 0.3092 0.5519
Ge1 Ge 0.0000 0.0000 0.5000
Sb1 Sb 0.0000 0.5000 0.2500
Sb2 Sb 0.1213 0.2516 0.8766
```

## Properties
Magnetic moment: 0.01 μB/f.u.
Electronic total energy: -5.70 eV/atom
Formation energy (no corrections): -15.22 eV per formula unit

Computed, not measured: an optimized crystal structure of Li2OsW at the PBE-GGA level of DFT.

CIF file:
```
data_Li2OsW
_chemical_formula_sum 'Li8 Os4 W4'
_cell_length_a 6.7835
_cell_length_b 6.7835
_cell_length_c 4.9436
_cell_angle_alpha 90.00
_cell_angle_beta 90.00
_cell_angle_gamma 90.00
_symmetry_space_group_name_H-M 'I -4 2 d'
_symmetry_Int_Tables_number 122
_symmetry_space_group_name_Hall 'I -4 2bw'
loop_
_atom_site_label
_atom_site_type_symbol
_atom_site_fract_x
_atom_site_fract_y
_atom_site_fract_z
Li1 Li 0.2379 0.7500 0.1250
Os1 Os 0.0000 0.0000 0.0000
W1 W 0.0000 0.0000 0.5000
```

## Properties
Calculated formation energy: 1.098 eV/atom
Magnetic moment: 0.61 μB/f.u.
Electronic total energy: -5.90 eV/atom
Energy relative to the lowest polymorph listed for this composition: 0.9108 eV per atom

Computed, not measured: an optimized crystal structure of LiIn4PbS8 at the PBE-GGA level of DFT.

CIF file:
```
data_LiIn4PbS8
_chemical_formula_sum 'Li3 In12 Pb3 S24'
_cell_length_a 7.8380
_cell_length_b 7.8380
_cell_length_c 18.8639
_cell_angle_alpha 90.00
_cell_angle_beta 90.00
_cell_angle_gamma 120.00
_symmetry_space_group_name_H-M 'R 3 m'
_symmetry_Int_Tables_number 160
_symmetry_space_group_name_Hall 'R 3 -2"'
loop_
_atom_site_label
_atom_site_type_symbol
_atom_site_fract_x
_atom_site_fract_y
_atom_site_fract_z
Li1 Li 0.0000 0.0000 0.0000
In1 In 0.0000 0.0000 0.6205
In2 In 0.1680 0.3359 0.8382
Pb1 Pb 0.0000 0.0000 0.3930
S1 S 0.0000 0.0000 0.2487
S2 S 0.0000 0.0000 0.7588
S3 S 0.0491 0.5246 0.7560
S4 S 0.1789 0.3579 0.5835
```

## Properties
Magnetic moment: 0.00 μB/f.u.
Electronic total energy: -4.10 eV/atom
Formation energy (no corrections): -7.86 eV per formula unit

Computed, not measured: an optimized crystal structure of Pm4TeSe5 at the PBE-GGA level of DFT.

CIF file:
```
data_Pm4TeSe5
_chemical_formula_sum 'Pm8 Te2 Se10'
_cell_length_a 9.0737
_cell_length_b 10.5229
_cell_length_c 7.1196
_cell_angle_alpha 90.00
_cell_angle_beta 90.00
_cell_angle_gamma 90.00
_symmetry_space_group_name_H-M 'P m m n'
_symmetry_Int_Tables_number 59
loop_
_symmetry_equiv_pos_as_xyz
'x,y,z'
'-x,-y,-z'
'-x+1/2,-y+1/2,z'
'x+1/2,y+1/2,-z'
'x+1/2,-y,-z'
'-x+1/2,y,z'
'-x,y+1/2,-z'
'x,-y+1/2,z'
loop_
_atom_site_label
_atom_site_type_symbol
_atom_site_fract_x
_atom_site_fract_y
_atom_site_fract_z
Pm1 Pm 0.0016 0.2500 0.0350
Pm2 Pm 0.2500 0.0132 0.4918
Te1 Te 0.2500 0.7500 0.6862
Se1 Se 0.0004 0.0566 0.7531
Se2 Se 0.2500 0.2500 0.2751
```

## Properties
Magnetic moment: 0.00 μB/f.u.
Electronic total energy: -5.59 eV/atom
Formation energy (no corrections): -16.38 eV per formula unit

Computed, not measured: an optimized crystal structure of PrPa2Sn at the PBE-GGA level of DFT.

CIF file:
```
data_PrPa2Sn
_chemical_formula_sum 'Pr1 Pa2 Sn1'
_cell_length_a 4.5612
_cell_length_b 4.5612
_cell_length_c 5.1482
_cell_angle_alpha 90.00
_cell_angle_beta 90.00
_cell_angle_gamma 90.00
_symmetry_space_group_name_H-M 'P 4/m m m'
_symmetry_Int_Tables_number 123
_symmetry_space_group_name_Hall '-P 4 2'
loop_
_atom_site_label
_atom_site_type_symbol
_atom_site_fract_x
_atom_site_fract_y
_atom_site_fract_z
Pr1 Pr 0.0000 0.0000 0.0000
Pa1 Pa 0.0000 0.5000 0.5000
Sn1 Sn 0.5000 0.5000 0.0000
```

## Properties
Calculated formation energy: -0.105 eV/atom
Magnetic moment: 0.00 μB/f.u.
Electronic total energy: -7.05 eV/atom
Energy relative to the lowest polymorph listed for this composition: 0.0000 eV per atom